Entry from Alexandria via LeMat-Bulk: LaAl2Te2 at its PBEsol-relaxed geometry (meta-GGA SCAN). Values from VASP.

Structure (Quantum ESPRESSO input):
```
&SYSTEM
  ibrav = 0, nat = 5, ntyp = 3
/
ATOMIC_SPECIES
Al 26.98 Al.upf
La 138.91 La.upf
Te 127.60 Te.upf
ATOMIC_POSITIONS crystal
Al 0.351 0.701 0.649
Al 0.649 0.299 0.351
La 0.000 0.000 0.000
Te 0.250 0.500 0.250
Te 0.750 0.500 0.750
CELL_PARAMETERS angstrom
-4.126 0.407 -3.673
1.340 -5.262 2.089
-3.460 -2.357 3.627
```

**SG**: I4/mmm (139)
**Raw formation energy**: -0.54 eV/atom

Entry from Alexandria via LeMat-Bulk: Ag4P at its PBEsol-relaxed geometry (meta-GGA SCAN). Values from VASP.

Structure (Quantum ESPRESSO input):
```
&SYSTEM
  ibrav = 0, nat = 5, ntyp = 2
/
ATOMIC_SPECIES
Ag 107.87 Ag.upf
P 30.97 P.upf
ATOMIC_POSITIONS crystal
Ag 0.000 0.000 0.500
Ag 0.500 0.000 0.000
Ag 0.500 0.500 0.500
Ag 0.000 0.500 0.000
P 0.000 0.000 0.000
CELL_PARAMETERS angstrom
-1.732 1.996 4.210
2.123 -4.383 0.995
3.366 3.051 -2.018
```

**Energy relative to the elements**: 234 meV per atom
**SG**: Im-3m (229)

Entry from Alexandria via LeMat-Bulk: BaCu2Ag at its PBEsol-relaxed geometry (meta-GGA SCAN). Values from VASP.

Structure (Quantum ESPRESSO input):
```
&SYSTEM
  ibrav = 0, nat = 4, ntyp = 3
/
ATOMIC_SPECIES
Cu 63.55 Cu.upf
Ag 107.87 Ag.upf
Ba 137.33 Ba.upf
ATOMIC_POSITIONS crystal
Cu 0.810 0.810 0.569
Ag 0.500 0.500 0.500
Ba 0.000 0.000 0.000
Cu 0.190 0.190 0.431
CELL_PARAMETERS angstrom
-3.319 -2.709 -1.057
0.787 -3.628 -2.385
-0.006 -4.901 3.371
```

**Energy relative to the elements**: -34 meV per atom
**SG**: R-3m (166)

Entry from Alexandria via LeMat-Bulk: Cs2MnH12S2O14 at its PBEsol-relaxed geometry (meta-GGA SCAN). Values from VASP.

Structure (Quantum ESPRESSO input):
```
&SYSTEM
  ibrav = 0, nat = 62, ntyp = 5
/
ATOMIC_SPECIES
H 1.01 H.upf
O 16.00 O.upf
S 32.06 S.upf
Mn 54.94 Mn.upf
Cs 132.91 Cs.upf
ATOMIC_POSITIONS crystal
H 0.026 0.159 0.189
O 0.060 0.138 0.319
H 0.088 0.744 0.632
H 0.974 0.841 0.811
O 0.833 0.833 0.116
O 0.000 0.179 0.114
H 0.317 0.522 0.354
O 0.796 0.533 0.924
H 0.326 0.218 0.899
O 0.167 0.667 0.616
O 0.940 0.362 0.819
H 0.674 0.282 0.399
H 0.658 0.104 0.933
S 0.263 0.602 0.144
S 0.737 0.898 0.644
H 0.342 0.896 0.067
O 0.300 0.992 0.071
O 0.393 0.579 0.235
H 0.912 0.756 0.132
O 0.300 0.492 0.429
Mn 0.000 0.500 0.500
O 0.204 0.467 0.076
O 0.607 0.921 0.735
H 0.912 0.256 0.368
H 0.915 0.214 0.600
O 0.600 0.269 0.918
O 0.700 0.008 0.929
O 0.000 0.321 0.614
O 0.000 0.679 0.386
H 0.674 0.782 0.101
H 0.088 0.244 0.868
O 0.400 0.731 0.082
H 0.326 0.718 0.601
O 0.400 0.231 0.418
H 0.085 0.786 0.400
O 0.833 0.333 0.384
O 0.700 0.508 0.571
O 0.204 0.967 0.424
O 0.796 0.033 0.576
O 0.940 0.862 0.681
H 0.658 0.604 0.567
Cs 0.350 0.635 0.855
S 0.737 0.398 0.856
O 0.167 0.167 0.884
O 0.600 0.769 0.582
H 0.342 0.396 0.433
H 0.915 0.714 0.900
O 0.393 0.079 0.265
S 0.263 0.102 0.356
O 0.060 0.638 0.181
Cs 0.650 0.865 0.355
H 0.683 0.978 0.854
Cs 0.650 0.365 0.145
Cs 0.350 0.135 0.645
H 0.974 0.341 0.689
H 0.026 0.659 0.311
H 0.683 0.478 0.646
O 0.607 0.421 0.765
O 0.000 0.821 0.886
H 0.085 0.286 0.100
Mn 0.000 0.000 0.000
H 0.317 0.022 0.146
CELL_PARAMETERS angstrom
6.345 0.030 0.000
-2.660 8.882 0.000
0.000 0.000 12.804
```

**Calculated total energy**: -574.266 eV for the cell shown
**SG**: P2_1/c (14)

Entry from Alexandria via LeMat-Bulk: YSc2Zn at its PBEsol-relaxed geometry (meta-GGA SCAN). Values from VASP.

Structure (Quantum ESPRESSO input):
```
&SYSTEM
  ibrav = 0, nat = 4, ntyp = 3
/
ATOMIC_SPECIES
Sc 44.96 Sc.upf
Y 88.91 Y.upf
Zn 65.41 Zn.upf
ATOMIC_POSITIONS crystal
Sc 0.000 0.000 0.962
Sc 0.500 0.500 0.232
Y 0.000 0.000 0.534
Zn 0.500 0.500 0.772
CELL_PARAMETERS angstrom
-1.547 -0.491 2.936
0.092 -3.315 -0.506
7.156 -0.368 3.708
```

**Energy relative to the elements**: -199 meV per atom
**SG**: P4mm (99)

Entry from Alexandria via LeMat-Bulk: Li2NiP4O12 at its PBEsol-relaxed geometry (meta-GGA SCAN). Values from VASP.

Structure (Quantum ESPRESSO input):
```
&SYSTEM
  ibrav = 0, nat = 38, ntyp = 4
/
ATOMIC_SPECIES
O 16.00 O.upf
P 30.97 P.upf
Li 6.94 Li.upf
Ni 58.69 Ni.upf
ATOMIC_POSITIONS crystal
O 0.186 0.921 0.375
P 0.171 0.207 0.063
P 0.380 0.578 0.230
O 0.006 0.272 0.016
O 0.494 0.984 0.728
O 0.342 0.369 0.167
Li 0.246 0.184 0.477
O 0.575 0.640 0.322
O 0.686 0.375 0.921
P 0.880 0.230 0.578
Li 0.754 0.816 0.523
P 0.120 0.770 0.422
O 0.335 0.827 0.899
O 0.250 0.629 0.371
O 0.814 0.079 0.625
O 0.165 0.101 0.173
O 0.994 0.728 0.984
O 0.425 0.360 0.678
O 0.506 0.016 0.272
O 0.835 0.899 0.827
O 0.925 0.678 0.360
O 0.665 0.173 0.101
Li 0.254 0.523 0.816
O 0.250 0.110 0.890
P 0.620 0.422 0.770
P 0.329 0.937 0.793
O 0.750 0.371 0.629
Ni 0.250 0.872 0.128
O 0.658 0.631 0.833
O 0.314 0.625 0.079
O 0.750 0.890 0.110
P 0.829 0.793 0.937
P 0.671 0.063 0.207
O 0.842 0.167 0.369
Ni 0.750 0.128 0.872
O 0.158 0.833 0.631
Li 0.746 0.477 0.184
O 0.075 0.322 0.640
CELL_PARAMETERS angstrom
7.547 -0.023 -0.036
-1.084 8.306 0.015
-1.084 -3.519 7.524
```

**Relative energy among the computed polymorphs**: 0.090 eV per formula unit
**SG**: C2/c (15)
**Raw formation energy**: -2.35 eV/atom